No. 1
# NaMgGa2Co

An optimized crystal structure of NaMgGa2Co (PBE, Alexandria via LeMat-Bulk).

Cell: 4.591 4.591 4.842 Å, 90.00 90.00 90.00°
Sites, in units of the cell vectors:
Na 0.500 0.500 0.500
Mg 0.000 0.000 0.500
Co 0.000 0.000 0.000
Ga 0.000 0.500 0.000
Ga 0.500 0.000 0.000

## Properties
Its space group is P4/mmm (123). The calculation puts the total energy at -3.341 eV/atom.

No. 2
# MgPaGaCo

An optimized crystal structure of MgPaGaCo (PBE, Alexandria via LeMat-Bulk).

Cell: 4.695 4.695 4.695 Å, 60.00 60.00 60.00°
Sites, in units of the cell vectors:
Co 0.750 0.750 0.750
Ga 0.250 0.250 0.250
Pa 0.500 0.500 0.500
Mg 0.000 0.000 0.000

## Properties
Its space group is F-43m (216). The calculation puts the total energy at -5.413 eV/atom.

No. 3
# MgGaCoPd

An optimized crystal structure of MgGaCoPd (PBE, Alexandria via LeMat-Bulk).

Cell: 4.288 4.288 4.288 Å, 60.00 60.00 60.00°
Sites, in units of the cell vectors:
Mg 0.500 0.500 0.500
Co 0.250 0.250 0.250
Ga 0.000 0.000 0.000
Pd 0.750 0.750 0.750

## Properties
Its space group is F-43m (216). The calculation puts the total energy at -4.604 eV/atom.

No. 4
# PmMgGaCo

An optimized crystal structure of PmMgGaCo (PBE, Alexandria via LeMat-Bulk).

Cell: 4.809 4.809 4.809 Å, 60.00 60.00 60.00°
Sites, in units of the cell vectors:
Co 0.750 0.750 0.750
Pm 0.000 0.000 0.000
Ga 0.250 0.250 0.250
Mg 0.500 0.500 0.500

## Properties
Its space group is F-43m (216). The calculation puts the total energy at -4.254 eV/atom.

No. 5
# RbMgGa2Co

An optimized crystal structure of RbMgGa2Co (PBE, Alexandria via LeMat-Bulk).

Cell: 4.726 4.726 5.049 Å, 90.00 90.00 90.00°
Sites, in units of the cell vectors:
Mg 0.000 0.000 0.500
Co 0.000 0.000 0.000
Rb 0.500 0.500 0.500
Ga 0.000 0.500 0.000
Ga 0.500 0.000 0.000

## Properties
Its space group is P4/mmm (123). The calculation puts the total energy at -3.204 eV/atom.

No. 6
# RbMg2GaCo

An optimized crystal structure of RbMg2GaCo (PBE, Alexandria via LeMat-Bulk).

Cell: 5.089 5.089 4.705 Å, 90.00 90.00 90.00°
Sites, in units of the cell vectors:
Co 0.000 0.000 0.000
Ga 0.000 0.000 0.500
Mg 0.000 0.500 0.000
Rb 0.500 0.500 0.500
Mg 0.500 0.000 0.000

## Properties
Its space group is P4/mmm (123). The calculation puts the total energy at -2.781 eV/atom.